Entry 1:
{"formula": "DyZr2In3Ir2", "functional": "PBE-GGA", "state": "relaxed", "sg": "Amm2, No. 38", "lattice_angstrom": [[3.3970, 0.0000, 0.0000], [0.0000, 6.6395, 3.7728], [0.0000, -6.6395, 3.7728]], "species": ["Dy", "Zr", "Zr", "In", "In", "In", "Ir", "Ir"], "fractional_positions": [[0.0000, 0.0000, 0.0000], [0.0000, 0.1566, 0.5806], [0.0000, 0.5806, 0.1566], [0.5000, 0.3521, 0.3521], [0.5000, 0.5763, 0.8122], [0.5000, 0.8122, 0.5763], [0.5000, 0.2559, 0.9115], [0.5000, 0.9115, 0.2559]]}



Entry 2:
{"formula": "KDyIn", "functional": "PBE-GGA", "state": "relaxed", "polymorph_energy_mev_per_atom": 0, "sg": "Cmmm, No. 65", "lattice_angstrom": [[2.3299, -8.7176, 0.0000], [2.3299, 8.7176, 0.0000], [0.0000, 0.0000, 4.8753]], "species": ["K", "K", "Dy", "Dy", "In", "In"], "fractional_positions": [[0.0000, 0.0000, 0.0000], [0.5000, 0.5000, 0.5000], [0.1820, 0.8180, 0.5000], [0.8180, 0.1820, 0.5000], [0.3151, 0.6849, 0.0000], [0.6849, 0.3151, 0.0000]]}



Entry 3:
{"formula": "KDyIn", "functional": "PBE-GGA", "state": "relaxed", "polymorph_energy_mev_per_atom": 336, "sg": "F-43m, No. 216", "lattice_angstrom": [[0.0000, 3.8848, 3.8848], [3.8848, 0.0000, 3.8848], [3.8848, 3.8848, 0.0000]], "species": ["K", "Dy", "In"], "fractional_positions": [[0.0000, 0.0000, 0.0000], [0.5000, 0.5000, 0.5000], [0.7500, 0.7500, 0.7500]]}



Entry 4:
{"formula": "K2TbDy2Mg3In", "functional": "PBE-GGA", "state": "relaxed", "sg": "Amm2, No. 38", "lattice_angstrom": [[4.7639, 0.0000, 0.0000], [0.0000, 7.3782, 4.1926], [0.0000, -7.3782, 4.1926]], "species": ["K", "K", "Tb", "Dy", "Dy", "Mg", "Mg", "Mg", "In"], "fractional_positions": [[0.0000, 0.1669, 0.8331], [0.0000, 0.8331, 0.1669], [0.5000, 0.1329, 0.1329], [0.5000, 0.4982, 0.8629], [0.5000, 0.8629, 0.4982], [0.0000, 0.2839, 0.5016], [0.0000, 0.5016, 0.2839], [0.0000, 0.7208, 0.7208], [0.5000, 0.5017, 0.5017]]}



Entry 5:
{"formula": "KDyInSe3", "functional": "PBE-GGA", "state": "relaxed", "sg": "Cmcm, No. 63", "lattice_angstrom": [[2.1066, -7.9669, 0.0000], [2.1066, 7.9669, 0.0000], [0.0000, 0.0000, 11.6442]], "species": ["K", "K", "Dy", "Dy", "In", "In", "Se", "Se", "Se", "Se", "Se", "Se"], "fractional_positions": [[0.2029, 0.7971, 0.7500], [0.7971, 0.2029, 0.2500], [0.5000, 0.5000, 0.0000], [0.5000, 0.5000, 0.5000], [0.0911, 0.9089, 0.2500], [0.9089, 0.0911, 0.7500], [0.1231, 0.8769, 0.0161], [0.1231, 0.8769, 0.4839], [0.4754, 0.5246, 0.2500], [0.5246, 0.4754, 0.7500], [0.8769, 0.1231, 0.5161], [0.8769, 0.1231, 0.9839]]}



Entry 6:
{"formula": "La2Dy2In", "functional": "PBE-GGA", "state": "relaxed", "sg": "P4/mbm, No. 127", "lattice_angstrom": [[8.2398, 0.0000, 0.0000], [0.0000, 8.2398, 0.0000], [0.0000, 0.0000, 4.8355]], "species": ["La", "La", "La", "La", "Dy", "Dy", "Dy", "Dy", "In", "In"], "fractional_positions": [[0.1554, 0.3446, 0.0000], [0.3446, 0.8446, 0.0000], [0.6554, 0.1554, 0.0000], [0.8446, 0.6554, 0.0000], [0.1479, 0.6479, 0.5000], [0.3521, 0.1479, 0.5000], [0.6479, 0.8521, 0.5000], [0.8521, 0.3521, 0.5000], [0.0000, 0.0000, 0.5000], [0.5000, 0.5000, 0.5000]]}



Entry 7:
{"formula": "LaDyIn2", "functional": "PBE-GGA", "state": "relaxed", "sg": "P4/mmm, No. 123", "lattice_angstrom": [[3.8302, 0.0000, 0.0000], [0.0000, 3.8302, 0.0000], [0.0000, 0.0000, 7.7624]], "species": ["La", "Dy", "In", "In"], "fractional_positions": [[0.0000, 0.0000, 0.0000], [0.0000, 0.0000, 0.5000], [0.5000, 0.5000, 0.2698], [0.5000, 0.5000, 0.7302]]}



Entry 8:
{"formula": "LaDyIn", "functional": "PBE-GGA", "state": "relaxed", "polymorph_energy_mev_per_atom": 0, "sg": "F-43m, No. 216", "lattice_angstrom": [[0.0000, 3.7531, 3.7531], [3.7531, 0.0000, 3.7531], [3.7531, 3.7531, 0.0000]], "species": ["La", "Dy", "In"], "fractional_positions": [[0.0000, 0.0000, 0.0000], [0.5000, 0.5000, 0.5000], [0.7500, 0.7500, 0.7500]]}



Entry 9:
{"formula": "LaDy2Mg3Tl2In", "functional": "PBE-GGA", "state": "relaxed", "sg": "Amm2, No. 38", "lattice_angstrom": [[4.7242, 0.0000, 0.0000], [0.0000, 6.6493, 3.7673], [0.0000, -6.6493, 3.7673]], "species": ["La", "Dy", "Dy", "Mg", "Mg", "Mg", "Tl", "Tl", "In"], "fractional_positions": [[0.0000, 0.0000, 0.0000], [0.0000, 0.4337, 0.8645], [0.0000, 0.8645, 0.4337], [0.5000, 0.1957, 0.4356], [0.5000, 0.4356, 0.1957], [0.5000, 0.6772, 0.6772], [0.5000, 0.1060, 0.7620], [0.5000, 0.7620, 0.1060], [0.0000, 0.4459, 0.4459]]}



Entry 10:
{"formula": "LaDyIn4Pd2", "functional": "PBE-GGA", "state": "relaxed", "sg": "Amm2, No. 38", "lattice_angstrom": [[7.6440, 0.0000, 0.0000], [0.0000, 2.2844, 5.3045], [0.0000, -2.2844, 5.3045]], "species": ["La", "Dy", "In", "In", "In", "In", "Pd", "Pd"], "fractional_positions": [[0.0000, 0.0000, 0.0000], [0.5000, 0.1482, 0.1482], [0.2049, 0.7110, 0.7110], [0.3045, 0.4341, 0.4341], [0.6955, 0.4341, 0.4341], [0.7951, 0.7110, 0.7110], [0.0000, 0.2848, 0.2848], [0.5000, 0.8646, 0.8646]]}



Entry 11:
{"formula": "LaDyIn2Pd4", "functional": "PBE-GGA", "state": "relaxed", "sg": "P-6m2, No. 187", "lattice_angstrom": [[4.6399, 0.0000, 0.0000], [-2.3200, 4.0183, 0.0000], [0.0000, 0.0000, 9.1124]], "species": ["La", "Dy", "In", "In", "Pd", "Pd", "Pd", "Pd"], "fractional_positions": [[0.0000, 0.0000, 0.0000], [0.6667, 0.3333, 0.5000], [0.3333, 0.6667, 0.2619], [0.3333, 0.6667, 0.7381], [0.0000, 0.0000, 0.3419], [0.0000, 0.0000, 0.6581], [0.6667, 0.3333, 0.1742], [0.6667, 0.3333, 0.8258]]}



Entry 12:
{"formula": "LaDyZn2In2", "functional": "PBE-GGA", "state": "relaxed", "sg": "P3m1, No. 156", "lattice_angstrom": [[4.7179, 0.0000, 0.0000], [-2.3590, 4.0858, 0.0000], [0.0000, 0.0000, 7.5874]], "species": ["La", "Dy", "Zn", "Zn", "In", "In"], "fractional_positions": [[0.0000, 0.0000, 0.0000], [0.0000, 0.0000, 0.5012], [0.3333, 0.6667, 0.6877], [0.6667, 0.3333, 0.2141], [0.3333, 0.6667, 0.2877], [0.6667, 0.3333, 0.7627]]}



| no. | VASP energy (eV/f.u.) |
| --- | --- |
| 1 | -52.48 |
| 2 | -8.46 |
| 3 | -7.45 |
| 4 | -19.70 |
| 5 | -25.84 |
| 6 | -22.18 |
| 7 | -16.99 |
| 8 | -12.59 |
| 9 | -29.49 |
| 10 | -36.07 |
| 11 | -42.20 |
| 12 | -20.40 |